GGA-PBE PmPr3Sm4, optimized geometry; energy of formation = 14.8 meV/atom; magnetic moment = 0.000 μB per atom; space group = Pmna, No. 53; energy above the lowest structure with this stoichiometry = 0.0000 eV per atom
1.0
-6.392 -2.934 2.043
3.433 -6.203 1.831
1.412 3.619 9.614
Pr Sm Pm
6 8 2
Direct
0.749 0.561 0.250
0.251 0.061 0.750
0.749 0.561 0.750
0.000 0.811 0.500
0.251 0.061 0.250
0.000 0.311 0.000
0.749 0.061 0.250
0.500 0.310 0.000
0.749 0.061 0.750
0.000 0.311 0.500
0.251 0.561 0.750
0.251 0.561 0.250
0.000 0.811 0.000
0.500 0.810 0.500
0.500 0.311 0.500
0.500 0.811 0.000

GGA-PBE Ce5PaSe6, optimized geometry; magnetic moment = 0.351 μB per atom; space group = C2/m, No. 12; energy relative to the elements, uncorrected = -1.7059 eV/atom
1.0
7.141 0.174 1.085
1.755 6.051 3.528
0.120 0.062 7.224
Ce Se Pa
5 6 1
Direct
0.000 0.334 0.333
0.500 0.169 0.661
0.500 0.500 0.000
0.000 0.666 0.667
0.500 0.831 0.339
0.753 0.411 0.671
0.751 0.755 0.000
0.249 0.245 0.000
0.247 0.589 0.329
0.247 0.918 0.671
0.753 0.082 0.329
0.000 0.000 0.000

- Which formula does entry 1 have?
  PmPr3Sm4

- magnetic moment of number 2 (Ce5PaSe6)?
  0.351 μB per atom

- What is the magnetic moment in the first record?
  0.000 μB per atom

- Look up the magnetic moment of the first one.
  0.000 μB per atom